# GaAgO2 | Alexandria via LeMat-Bulk | SCAN | single point on PBEsol structure
# * raw formation energy: -0.298 eV/atom
data_GaAgO2
_symmetry_space_group_name_H-M 'F m -3 m'
_symmetry_Int_Tables_number 225
_symmetry_space_group_name_Hall '-F 4 2 3'
_cell_length_a 5.5398
_cell_length_b 5.5398
_cell_length_c 5.5398
_cell_angle_alpha 90.00
_cell_angle_beta 90.00
_cell_angle_gamma 90.00
loop_
_atom_site_label
_atom_site_fract_x
_atom_site_fract_y
_atom_site_fract_z
Ga1 0.0000 0.0000 0.0000
Ag1 0.0000 0.0000 0.5000
O1 0.2500 0.2500 0.2500